[1]
{"formula": "Ac4ErIn5", "functional": "PBE", "state": "relaxed", "lattice_angstrom": [[3.963, 0.000, 0.000], [0.000, 3.963, 0.000], [0.000, 0.000, 20.878]], "species": ["Ac", "Ac", "Ac", "Ac", "Er", "In", "In", "In", "In", "In"], "frac_coords": [[0.000, 0.000, 0.105], [0.000, 0.000, 0.313], [0.000, 0.000, 0.687], [0.000, 0.000, 0.895], [0.000, 0.000, 0.500], [0.500, 0.500, 0.000], [0.500, 0.500, 0.210], [0.500, 0.500, 0.420], [0.500, 0.500, 0.580], [0.500, 0.500, 0.790]], "magnetic_moment_mub_per_atom": 0.000, "volume_a3_per_fu": 327.9, "formation_energy_ev_per_atom": -0.42}

=====

[2]
{"formula": "AcEr2In3", "functional": "PBE", "state": "relaxed", "lattice_angstrom": [[3.829, 0.000, 0.000], [0.000, 3.829, 0.000], [0.000, 0.000, 11.717]], "species": ["Ac", "Er", "Er", "In", "In", "In"], "frac_coords": [[0.000, 0.000, 0.000], [0.000, 0.000, 0.345], [0.000, 0.000, 0.655], [0.500, 0.500, 0.195], [0.500, 0.500, 0.500], [0.500, 0.500, 0.805]], "magnetic_moment_mub_per_atom": 0.000, "volume_a3_per_fu": 171.8, "formation_energy_ev_per_atom": -0.43}

=====

[3]
{"formula": "AcEr5In3", "functional": "PBE", "state": "relaxed", "lattice_angstrom": [[9.415, 0.000, 0.000], [-4.707, 8.153, 0.000], [0.000, 0.000, 6.823]], "species": ["Ac", "Ac", "Er", "Er", "Er", "Er", "Er", "Er", "Er", "Er", "Er", "Er", "In", "In", "In", "In", "In", "In"], "frac_coords": [[0.000, 0.000, 0.000], [0.000, 0.000, 0.500], [0.000, 0.335, 0.250], [0.000, 0.665, 0.750], [0.333, 0.667, 0.000], [0.333, 0.667, 0.500], [0.335, 0.000, 0.250], [0.335, 0.335, 0.750], [0.665, 0.000, 0.750], [0.665, 0.665, 0.250], [0.667, 0.333, 0.000], [0.667, 0.333, 0.500], [0.000, 0.342, 0.750], [0.000, 0.658, 0.250], [0.342, 0.000, 0.750], [0.342, 0.342, 0.250], [0.658, 0.000, 0.250], [0.658, 0.658, 0.750]], "magnetic_moment_mub_per_atom": 0.000, "volume_a3_per_fu": 261.9, "formation_energy_ev_per_atom": -0.30}

=====

[4]
{"formula": "Ac2ErIn", "functional": "PBE", "state": "relaxed", "lattice_angstrom": [[5.200, 0.000, 0.000], [0.000, 5.200, 0.000], [0.000, 0.000, 5.172]], "species": ["Ac", "Ac", "Er", "In"], "frac_coords": [[0.000, 0.500, 0.000], [0.500, 0.000, 0.000], [0.000, 0.000, 0.500], [0.500, 0.500, 0.500]], "magnetic_moment_mub_per_atom": 0.000, "volume_a3_per_fu": 139.8, "relative_energy_kj_per_mol_atoms": 0.00, "formation_energy_ev_per_atom": -0.15}

=====

[5]
{"formula": "Ac2ErIn", "functional": "PBE", "state": "relaxed", "lattice_angstrom": [[4.198, 0.000, 0.000], [0.000, 4.198, 0.000], [0.000, 0.000, 8.229]], "species": ["Ac", "Ac", "Er", "In"], "frac_coords": [[0.000, 0.000, 0.232], [0.000, 0.000, 0.768], [0.500, 0.500, 0.500], [0.500, 0.500, 0.000]], "magnetic_moment_mub_per_atom": 0.000, "volume_a3_per_fu": 145.0, "relative_energy_kj_per_mol_atoms": 2.15, "formation_energy_ev_per_atom": -0.13}

=====

[6]
{"formula": "Ac3ErIn12", "functional": "PBE", "state": "relaxed", "lattice_angstrom": [[4.847, 0.000, 0.000], [0.000, 4.847, 0.000], [0.000, 0.000, 19.444]], "species": ["Ac", "Ac", "Ac", "Er", "In", "In", "In", "In", "In", "In", "In", "In", "In", "In", "In", "In"], "frac_coords": [[0.000, 0.000, 0.000], [0.000, 0.000, 0.260], [0.000, 0.000, 0.740], [0.000, 0.000, 0.500], [0.000, 0.500, 0.129], [0.000, 0.500, 0.387], [0.000, 0.500, 0.613], [0.000, 0.500, 0.871], [0.500, 0.000, 0.129], [0.500, 0.000, 0.387], [0.500, 0.000, 0.613], [0.500, 0.000, 0.871], [0.500, 0.500, 0.000], [0.500, 0.500, 0.250], [0.500, 0.500, 0.500], [0.500, 0.500, 0.750]], "magnetic_moment_mub_per_atom": 0.000, "volume_a3_per_fu": 456.8, "formation_energy_ev_per_atom": -0.39}

=====

[7]
{"formula": "AcErInIr", "functional": "PBE", "state": "relaxed", "lattice_angstrom": [[0.000, 3.745, 3.745], [3.745, 0.000, 3.745], [3.745, 3.745, 0.000]], "species": ["Ac", "Er", "In", "Ir"], "frac_coords": [[0.000, 0.000, 0.000], [0.500, 0.500, 0.500], [0.250, 0.250, 0.250], [0.750, 0.750, 0.750]], "magnetic_moment_mub_per_atom": 0.000, "volume_a3_per_fu": 105.0, "formation_energy_ev_per_atom": -0.35}

=====

[8]
{"formula": "Li2Ac2ErIn5", "functional": "PBE", "state": "relaxed", "lattice_angstrom": [[10.651, 0.000, 0.000], [0.000, 10.651, 0.000], [0.000, 0.000, 4.650]], "species": ["Li", "Li", "Li", "Li", "Ac", "Ac", "Ac", "Ac", "Er", "Er", "In", "In", "In", "In", "In", "In", "In", "In", "In", "In"], "frac_coords": [[0.112, 0.388, 0.000], [0.388, 0.888, 0.000], [0.612, 0.112, 0.000], [0.888, 0.612, 0.000], [0.182, 0.682, 0.000], [0.318, 0.182, 0.000], [0.682, 0.818, 0.000], [0.818, 0.318, 0.000], [0.000, 0.000, 0.000], [0.500, 0.500, 0.000], [0.000, 0.500, 0.500], [0.061, 0.210, 0.500], [0.210, 0.939, 0.500], [0.290, 0.439, 0.500], [0.439, 0.710, 0.500], [0.500, 0.000, 0.500], [0.561, 0.290, 0.500], [0.710, 0.561, 0.500], [0.790, 0.061, 0.500], [0.939, 0.790, 0.500]], "magnetic_moment_mub_per_atom": 0.000, "volume_a3_per_fu": 263.7, "formation_energy_ev_per_atom": -0.41}

=====

[9]
{"formula": "AcErMg2In4", "functional": "PBE", "state": "relaxed", "lattice_angstrom": [[2.454, 1.417, 10.592], [-2.454, 1.417, 10.592], [0.000, -2.834, 10.592]], "species": ["Ac", "Er", "Mg", "Mg", "In", "In", "In", "In"], "frac_coords": [[0.000, 0.000, 0.000], [0.500, 0.500, 0.500], [0.242, 0.242, 0.242], [0.758, 0.758, 0.758], [0.122, 0.122, 0.122], [0.396, 0.396, 0.396], [0.604, 0.604, 0.604], [0.878, 0.878, 0.878]], "magnetic_moment_mub_per_atom": 0.000, "volume_a3_per_fu": 221.0, "formation_energy_ev_per_atom": -0.29}

=====

[10]
{"formula": "NaAcErIn", "functional": "PBE", "state": "relaxed", "lattice_angstrom": [[0.000, 3.983, 3.983], [3.983, 0.000, 3.983], [3.983, 3.983, 0.000]], "species": ["Na", "Ac", "Er", "In"], "frac_coords": [[0.000, 0.000, 0.000], [0.250, 0.250, 0.250], [0.750, 0.750, 0.750], [0.500, 0.500, 0.500]], "magnetic_moment_mub_per_atom": 0.000, "volume_a3_per_fu": 126.3, "formation_energy_ev_per_atom": -0.09}

=====

[11]
{"formula": "AcNdErIn", "functional": "PBE", "state": "relaxed", "lattice_angstrom": [[0.000, 3.993, 3.993], [3.993, 0.000, 3.993], [3.993, 3.993, 0.000]], "species": ["Ac", "Nd", "Er", "In"], "frac_coords": [[0.000, 0.000, 0.000], [0.750, 0.750, 0.750], [0.250, 0.250, 0.250], [0.500, 0.500, 0.500]], "magnetic_moment_mub_per_atom": 0.000, "volume_a3_per_fu": 127.3, "formation_energy_ev_per_atom": -0.05}

=====

[12]
{"formula": "Ac2ErInO6", "functional": "PBE", "state": "relaxed", "lattice_angstrom": [[5.956, 0.000, 0.000], [0.000, 6.114, 0.000], [-5.914, 0.000, 8.530]], "species": ["Ac", "Ac", "Ac", "Ac", "Er", "Er", "In", "In", "O", "O", "O", "O", "O", "O", "O", "O", "O", "O", "O", "O"], "frac_coords": [[0.236, 0.048, 0.249], [0.236, 0.452, 0.749], [0.764, 0.548, 0.251], [0.764, 0.952, 0.751], [0.500, 0.000, 0.000], [0.500, 0.500, 0.500], [0.000, 0.000, 0.500], [0.000, 0.500, 0.000], [0.143, 0.204, 0.944], [0.143, 0.296, 0.444], [0.238, 0.702, 0.942], [0.238, 0.798, 0.442], [0.355, 0.042, 0.749], [0.355, 0.458, 0.249], [0.645, 0.542, 0.751], [0.645, 0.958, 0.251], [0.762, 0.202, 0.558], [0.762, 0.298, 0.058], [0.857, 0.704, 0.556], [0.857, 0.796, 0.056]], "magnetic_moment_mub_per_atom": 0.000, "volume_a3_per_fu": 155.3}

=====

[13]
{"formula": "AcErInPd", "functional": "PBE", "state": "relaxed", "lattice_angstrom": [[0.000, 3.808, 3.808], [3.808, 0.000, 3.808], [3.808, 3.808, 0.000]], "species": ["Ac", "Er", "In", "Pd"], "frac_coords": [[0.000, 0.000, 0.000], [0.500, 0.500, 0.500], [0.250, 0.250, 0.250], [0.750, 0.750, 0.750]], "magnetic_moment_mub_per_atom": 0.000, "volume_a3_per_fu": 110.4, "formation_energy_ev_per_atom": -0.48}

=====

[14]
{"formula": "Ac2ErInPd6", "functional": "PBE", "state": "relaxed", "lattice_angstrom": [[0.000, 5.064, 5.064], [5.064, 0.000, 5.064], [5.064, 5.064, 0.000]], "species": ["Ac", "Ac", "Er", "In", "Pd", "Pd", "Pd", "Pd", "Pd", "Pd"], "frac_coords": [[0.250, 0.250, 0.250], [0.750, 0.750, 0.750], [0.000, 0.000, 0.000], [0.500, 0.500, 0.500], [0.250, 0.250, 0.750], [0.250, 0.750, 0.250], [0.250, 0.750, 0.750], [0.750, 0.250, 0.250], [0.750, 0.250, 0.750], [0.750, 0.750, 0.250]], "magnetic_moment_mub_per_atom": 0.000, "volume_a3_per_fu": 259.7, "formation_energy_ev_per_atom": -0.26}

=====

[15]
{"formula": "AcPrErIn", "functional": "PBE", "state": "relaxed", "lattice_angstrom": [[0.000, 4.004, 4.004], [4.004, 0.000, 4.004], [4.004, 4.004, 0.000]], "species": ["Ac", "Pr", "Er", "In"], "frac_coords": [[0.000, 0.000, 0.000], [0.750, 0.750, 0.750], [0.250, 0.250, 0.250], [0.500, 0.500, 0.500]], "magnetic_moment_mub_per_atom": 0.000, "volume_a3_per_fu": 128.4, "formation_energy_ev_per_atom": -0.05}

=====

[16]
{"formula": "AcErInRh", "functional": "PBE", "state": "relaxed", "lattice_angstrom": [[0.000, 3.759, 3.759], [3.759, 0.000, 3.759], [3.759, 3.759, 0.000]], "species": ["Ac", "Er", "In", "Rh"], "frac_coords": [[0.000, 0.000, 0.000], [0.500, 0.500, 0.500], [0.250, 0.250, 0.250], [0.750, 0.750, 0.750]], "magnetic_moment_mub_per_atom": 0.000, "volume_a3_per_fu": 106.2, "formation_energy_ev_per_atom": -0.39}

=====

[17]
{"formula": "Ac2ErIn12Rh3", "functional": "PBE", "state": "relaxed", "lattice_angstrom": [[4.889, 2.823, 6.532], [-4.889, 2.823, 6.532], [0.000, -5.646, 6.532]], "species": ["Ac", "Ac", "Er", "In", "In", "In", "In", "In", "In", "In", "In", "In", "In", "In", "In", "Rh", "Rh", "Rh"], "frac_coords": [[0.088, 0.088, 0.088], [0.912, 0.912, 0.912], [0.500, 0.500, 0.500], [0.091, 0.653, 0.653], [0.220, 0.220, 0.616], [0.220, 0.616, 0.220], [0.347, 0.347, 0.909], [0.347, 0.909, 0.347], [0.384, 0.780, 0.780], [0.616, 0.220, 0.220], [0.653, 0.091, 0.653], [0.653, 0.653, 0.091], [0.780, 0.384, 0.780], [0.780, 0.780, 0.384], [0.909, 0.347, 0.347], [0.000, 0.500, 0.500], [0.500, 0.000, 0.500], [0.500, 0.500, 0.000]], "magnetic_moment_mub_per_atom": 0.000, "volume_a3_per_fu": 540.9, "formation_energy_ev_per_atom": -0.05}

=====

[18]
{"formula": "Ac2ErInS6", "functional": "PBE", "state": "relaxed", "lattice_angstrom": [[6.872, 0.000, 0.000], [0.000, 7.479, 0.000], [-6.711, 0.000, 9.952]], "species": ["Ac", "Ac", "Ac", "Ac", "Er", "Er", "In", "In", "S", "S", "S", "S", "S", "S", "S", "S", "S", "S", "S", "S"], "frac_coords": [[0.214, 0.092, 0.247], [0.214, 0.408, 0.747], [0.786, 0.592, 0.253], [0.786, 0.908, 0.753], [0.500, 0.000, 0.000], [0.500, 0.500, 0.500], [0.000, 0.000, 0.500], [0.000, 0.500, 0.000], [0.124, 0.190, 0.942], [0.124, 0.310, 0.442], [0.255, 0.688, 0.940], [0.255, 0.812, 0.440], [0.367, 0.035, 0.745], [0.367, 0.465, 0.245], [0.633, 0.535, 0.755], [0.633, 0.965, 0.255], [0.745, 0.188, 0.560], [0.745, 0.312, 0.060], [0.876, 0.690, 0.558], [0.876, 0.810, 0.058]], "magnetic_moment_mub_per_atom": 0.000, "volume_a3_per_fu": 255.8}

=====

[19]
{"formula": "Ac2ErInSe5", "functional": "PBE", "state": "relaxed", "lattice_angstrom": [[2.135, -8.987, 0.000], [2.135, 8.987, 0.000], [0.000, 0.000, 13.524]], "species": ["Ac", "Ac", "Ac", "Ac", "Er", "Er", "In", "In", "Se", "Se", "Se", "Se", "Se", "Se", "Se", "Se", "Se", "Se"], "frac_coords": [[0.110, 0.890, 0.500], [0.135, 0.865, 0.120], [0.865, 0.135, 0.620], [0.890, 0.110, 0.000], [0.204, 0.796, 0.830], [0.796, 0.204, 0.330], [0.467, 0.533, 0.275], [0.533, 0.467, 0.775], [0.058, 0.942, 0.903], [0.282, 0.718, 0.477], [0.309, 0.691, 0.182], [0.361, 0.639, 0.817], [0.492, 0.508, 0.573], [0.508, 0.492, 0.073], [0.639, 0.361, 0.317], [0.691, 0.309, 0.682], [0.718, 0.282, 0.977], [0.942, 0.058, 0.403]], "magnetic_moment_mub_per_atom": 0.000, "volume_a3_per_fu": 259.4}

=====

[20]
{"formula": "AcSmErIn", "functional": "PBE", "state": "relaxed", "lattice_angstrom": [[0.000, 3.975, 3.975], [3.975, 0.000, 3.975], [3.975, 3.975, 0.000]], "species": ["Ac", "Sm", "Er", "In"], "frac_coords": [[0.000, 0.000, 0.000], [0.250, 0.250, 0.250], [0.750, 0.750, 0.750], [0.500, 0.500, 0.500]], "magnetic_moment_mub_per_atom": 0.002, "volume_a3_per_fu": 125.7, "formation_energy_ev_per_atom": -0.04}

=====

| no. | calculated total energy (hartree per atom) |
| --- | --- |
| 1 | -0.1430 |
| 2 | -0.1473 |
| 3 | -0.1545 |
| 4 | -0.1482 |
| 5 | -0.1473 |
| 6 | -0.1285 |
| 7 | -0.1991 |
| 8 | -0.1264 |
| 9 | -0.1154 |
| 10 | -0.1204 |
| 11 | -0.1504 |
| 12 | -0.2762 |
| 13 | -0.1703 |
| 14 | -0.1811 |
| 15 | -0.1507 |
| 16 | -0.1867 |
| 17 | -0.1399 |
| 18 | -0.2127 |
| 19 | -0.1912 |
| 20 | -0.1497 |